Entry 1:
VASP calculation (SCAN) on a PBEsol-optimized structure of ZnH2SeO5.

The calculation puts the total energy at -9.04 eV/atom. Its spin magnetization is 0.0 μB per formula unit. As for the density of states at the Fermi level: 0.00 states/eV/f.u.

The structure belongs to space group C2/c (No. 15); the cell edges are 6.894, 8.133 and 7.620 Å and the angles 90.00°, 116.30° and 90.00°. The asymmetric unit holds Zn at (0.250, 0.250, 0.000), H at (0.087, 0.050, 0.704), Se at (0.000, 0.416, 0.250), O at (0.000, 0.123, 0.750), O at (0.007, 0.303, 0.073) and O at (0.223, 0.465, 0.843).

Entry 2:
VASP calculation (SCAN) on a PBEsol-optimized structure of KFe2P.

Its spin magnetization is 4.5 μB per formula unit. As for the density of states at the Fermi level: 1.90 states/eV/f.u. Its formation energy is 1.9 kcal/mol of atoms.

The structure belongs to space group Pm (No. 6); the cell edges are 3.027, 3.730 and 6.665 Å and the angles 90.00°, 97.00° and 90.00°. The asymmetric unit holds K at (0.000, 0.000, 0.000), Fe at (0.151, 0.500, 0.563), Fe at (0.636, 0.000, 0.519) and P at (0.587, 0.500, 0.323).

Entry 3:
VASP calculation (SCAN) on a PBEsol-optimized structure of SiRh2Cl.

As for the energy relative to the elements, uncorrected: -0.42 eV per atom. Its spin magnetization is 0.0 μB per formula unit. As for the density of states at the Fermi level: 2.74 states/eV/f.u. The calculation puts the polymorph energy (0 for the lowest one) at 0.0 kJ/mol of atoms.

The structure belongs to space group P4/mmm (No. 123); the cell edges are 2.892, 2.892 and 6.717 Å and the angles 90.00°, 90.00° and 90.00°. The asymmetric unit holds Si at (0.000, 0.000, 0.000), Rh at (0.500, 0.500, 0.203) and Cl at (0.000, 0.000, 0.500).

Entry 4:
VASP calculation (SCAN) on a PBEsol-optimized structure of KBeCl2.

As for the energy relative to the elements, uncorrected: -0.98 eV per atom. Its spin magnetization is 1.0 μB per formula unit. As for the density of states at the Fermi level: 0.28 states/eV/f.u. The calculation puts the polymorph energy (0 for the lowest one) at 0.0 kJ/mol of atoms.

The structure belongs to space group P4mm (No. 99); the cell edges are 3.815, 3.815 and 6.426 Å and the angles 90.00°, 90.00° and 90.00°. The asymmetric unit holds K at (0.000, 0.000, 0.000), Be at (0.500, 0.500, 0.469), Cl at (0.000, 0.000, 0.454) and Cl at (0.500, 0.500, 0.779).

Entry 5:
VASP calculation (SCAN) on a PBEsol-optimized structure of K2HBr.

Its spin magnetization is 0.0 μB per formula unit. As for the density of states at the Fermi level: 0.00 states/eV/f.u. The calculation puts the polymorph energy (0 for the lowest one) at 3.1 kJ/mol of atoms.

The structure belongs to space group Fm-3m (No. 225); the cell edges are 7.470, 7.470 and 7.470 Å and the angles 90.00°, 90.00° and 90.00°. The asymmetric unit holds K at (0.250, 0.250, 0.250), H at (0.000, 0.000, 0.000) and Br at (0.000, 0.000, 0.500).

Entry 6:
VASP calculation (SCAN) on a PBEsol-optimized structure of LiCoO2F.

As for the energy relative to the elements, uncorrected: -0.66 eV per atom. Its spin magnetization is 5.0 μB per formula unit. As for the density of states at the Fermi level: 2.00 states/eV/f.u.

The structure belongs to space group P4/mmm (No. 123); the cell edges are 3.574, 3.574 and 3.415 Å and the angles 90.00°, 90.00° and 90.00°. The asymmetric unit holds Li at (0.000, 0.000, 0.000), Co at (0.500, 0.500, 0.500), O at (0.000, 0.500, 0.000) and F at (0.000, 0.000, 0.500).

Entry 7:
VASP calculation (SCAN) on a PBEsol-optimized structure of YTa2TlFe.

Its spin magnetization is 0.0 μB per formula unit. As for the density of states at the Fermi level: 3.26 states/eV/f.u. Its formation energy is 12.0 kcal/mol of atoms.

The structure belongs to space group P4/mmm (No. 123); the cell edges are 4.552, 4.552 and 5.127 Å and the angles 90.00°, 90.00° and 90.00°. The asymmetric unit holds Y at (0.000, 0.000, 0.000), Ta at (0.000, 0.500, 0.500), Tl at (0.500, 0.500, 0.000) and Fe at (0.000, 0.000, 0.500).

Entry 8:
VASP calculation (SCAN) on a PBEsol-optimized structure of MgZn2Co.

Its spin magnetization is 1.1 μB per formula unit. As for the density of states at the Fermi level: 1.46 states/eV/f.u. Its formation energy is 0.0 kcal/mol of atoms.

The structure belongs to space group Cm (No. 8); the cell edges are 9.295, 3.157 and 4.101 Å and the angles 90.00°, 116.09° and 90.00°. The asymmetric unit holds Mg at (0.000, 0.000, 0.000), Zn at (0.021, 0.500, 0.521), Zn at (0.270, 0.500, 0.269) and Co at (0.248, 0.000, 0.747).

Entry 9:
VASP calculation (SCAN) on a PBEsol-optimized structure of KInIr2.

Its spin magnetization is 0.0 μB per formula unit. As for the density of states at the Fermi level: 1.77 states/eV/f.u. Its formation energy is 12.6 kcal/mol of atoms.

The structure belongs to space group P2/m (No. 10); the cell edges are 2.790, 4.663 and 6.528 Å and the angles 90.00°, 98.85° and 90.00°. The asymmetric unit holds K at (0.000, 0.000, 0.000), In at (0.500, 0.000, 0.500) and Ir at (0.293, 0.500, 0.671).

Entry 10:
VASP calculation (SCAN) on a PBEsol-optimized structure of LiMnCo2.

Its spin magnetization is 6.9 μB per formula unit. As for the density of states at the Fermi level: 2.29 states/eV/f.u. The calculation puts the polymorph energy (0 for the lowest one) at 0.0 kJ/mol of atoms. Its formation energy is 3.1 kcal/mol of atoms.

The structure belongs to space group Pmm2 (No. 25); the cell edges are 2.452, 3.652 and 4.953 Å and the angles 90.00°, 90.00° and 90.00°. The asymmetric unit holds Li at (0.000, 0.000, 0.000), Mn at (0.500, 0.500, 0.262), Co at (0.000, 0.000, 0.519) and Co at (0.500, 0.500, 0.737).

Entry 11:
VASP calculation (SCAN) on a PBEsol-optimized structure of Li2Ge2Au.

Its spin magnetization is 0.0 μB per formula unit. As for the density of states at the Fermi level: 0.91 states/eV/f.u. Its formation energy is -9.9 kcal/mol of atoms.

The structure belongs to space group P4/mbm (No. 127); the cell edges are 6.399, 6.399 and 4.169 Å and the angles 90.00°, 90.00° and 90.00°. The asymmetric unit holds Li at (0.165, 0.335, 0.000), Ge at (0.133, 0.633, 0.500) and Au at (0.000, 0.000, 0.500).

Entry 12:
VASP calculation (SCAN) on a PBEsol-optimized structure of Fe3Pt.

Its spin magnetization is 9.3 μB per formula unit. As for the density of states at the Fermi level: 2.02 states/eV/f.u. Its formation energy is -6.8 kcal/mol of atoms.

The structure belongs to space group Fm-3m (No. 225); the cell edges are 5.844, 5.844 and 5.844 Å and the angles 90.00°, 90.00° and 90.00°. The asymmetric unit holds Fe at (0.000, 0.000, 0.000), Fe at (0.250, 0.250, 0.250) and Pt at (0.000, 0.000, 0.500).